(1)
Compound: ErHfCd2Au4
Source: the Open Quantum Materials Database
Functional: PBE-GGA
Structure: optimized geometry

Unit cell a=4.8375 b=4.8375 c=6.8305 alpha=90.00 beta=90.00 gamma=90.00
Closest atoms and distances in Å follow each position.
Fractional coordinates of all 8 atoms:
1 Er 0.0000 0.0000 0.0000  8 Au 3.02
2 Hf 0.5000 0.5000 0.5000  8 Au 2.91
3 Cd 0.0000 0.0000 0.5000  8 Au 2.91
4 Cd 0.5000 0.5000 0.0000  8 Au 3.02
5 Au 0.0000 0.5000 0.2640  4 Cd 2.91-3.02, 2 Hf 2.91, 2 Er 3.02, 1 Au 3.22
6 Au 0.0000 0.5000 0.7360  2 Hf 2.91, 4 Cd 2.91-3.02, 2 Er 3.02, 1 Au 3.22
7 Au 0.5000 0.0000 0.2640  4 Cd 2.91-3.02, 2 Hf 2.91, 2 Er 3.02, 1 Au 3.22
8 Au 0.5000 0.0000 0.7360  2 Hf 2.91, 4 Cd 2.91-3.02, 2 Er 3.02, 1 Au 3.22

Calculated values
Crystal system: tetragonal

=====

(2)
Compound: ErCdHgAu
Source: the Open Quantum Materials Database
Functional: PBE-GGA
Structure: optimized geometry

Unit cell a=4.9753 b=4.9753 c=4.9753 alpha=60.00 beta=60.00 gamma=60.00
Closest atoms and distances in Å follow each position.
Fractional coordinates of all 4 atoms:
1 Er 0.0000 0.0000 0.0000  4 Hg 3.05, 4 Au 3.05
2 Cd 0.5000 0.5000 0.5000  4 Hg 3.05, 4 Au 3.05
3 Hg 0.7500 0.7500 0.7500  4 Cd 3.05, 4 Er 3.05
4 Au 0.2500 0.2500 0.2500  4 Cd 3.05, 4 Er 3.05

Calculated values
Crystal system: cubic

=====

(3)
Compound: Ho2ErCd3Au3
Source: the Open Quantum Materials Database
Functional: PBE-GGA
Structure: optimized geometry

Unit cell a=3.8911 b=7.7710 c=7.7710 alpha=119.94 beta=90.00 gamma=90.00
Closest atoms and distances in Å follow each position.
Fractional coordinates of all 9 atoms:
1 Ho 0.0000 0.2016 0.7984  5 Au 3.07-3.13, 6 Cd 3.24-3.38
2 Ho 0.0000 0.7984 0.2016  5 Au 3.07-3.13, 6 Cd 3.24-3.38
3 Er 0.0000 0.6049 0.6049  5 Au 3.06-3.13, 6 Cd 3.24-3.37
4 Cd 0.5000 0.2018 0.4647  4 Au 2.82-2.91
5 Cd 0.5000 0.4647 0.2018  4 Au 2.82-2.91
6 Cd 0.5000 0.9385 0.9385  4 Au 2.83-2.90
7 Au 0.0000 0.2019 0.2019  6 Cd 2.82-2.83, 1 Er 3.13, 2 Ho 3.13
8 Au 0.5000 0.5351 0.8675  3 Cd 2.90-2.91, 2 Er 3.06, 4 Ho 3.07
9 Au 0.5000 0.8675 0.5351  3 Cd 2.90-2.91, 2 Er 3.06, 4 Ho 3.07

Calculated values
Crystal system: orthorhombic

=====

no.,M_tot (μB per formula unit),total DFT energy (no corrections) (eV per atom),ΔH_f (0 K) (eV/atom)
1,0.00,-4.2179,-0.546
2,0.00,-2.7721,-0.516
3,0.01,-3.5737,-0.662